Here is La3InRu after structural relaxation from Alexandria. Energies are from PBE-GGA.

Calculated values
- Calculated volume: 143.8 Å³/f.u.
- Spin magnetization: 0.00 μB/f.u.
- E above lowest polymorph: 0.1392 eV per atom
- Space-group type: C2/m, No. 12
- Raw total energy: -56.37 eV/cell
- Crystal system: monoclinic
- ΔH_f (0 K): -278 meV/atom

Lattice parameters (Å, degrees): 6.6310 6.6310 9.8638 101.52 101.52 42.76
Closest atoms and distances in Å follow each position.
Sites, in units of the cell vectors:
La  0.0451  0.0451  0.3329  1 Ru 2.82
La  0.2852  0.2852  0.7299  2 Ru 3.21, 3 In 3.30-3.45, 3 La 3.34-3.36
La  0.3732  0.3732  0.0766  2 Ru 2.87
La  0.6268  0.6268  0.9234  2 Ru 2.87
La  0.7148  0.7148  0.2701  2 Ru 3.21, 3 In 3.30-3.45, 3 La 3.34-3.36
La  0.9549  0.9549  0.6671  1 Ru 2.82
In  0.3778  0.3778  0.4236  1 In 3.07, 7 La 3.30-3.42
In  0.6222  0.6222  0.5764  1 In 3.07, 7 La 3.30-3.42
Ru  0.1052  0.1052  0.0728  1 Ru 2.69, 3 La 2.82-2.87
Ru  0.8948  0.8948  0.9272  1 Ru 2.69, 3 La 2.82-2.87